# 1
{"formula": "Tl2BiB2", "functional": "GGA-PBE", "state": "relaxed", "magmom_total_mub_per_cell": 0.00, "formation_enthalpy_0k_ev_per_atom": 1.487, "dos_ef_per_ev_cell": 4.797, "de_polymorph_ev_per_atom": 0.0727, "final_energy_ev_per_cell": -29.1, "lattice_angstrom": [[8.1930, 0.0000, 0.0000], [0.0000, 8.1930, 0.0000], [0.0000, 0.0000, 3.2153]], "species": ["Tl", "Tl", "Tl", "Tl", "B", "B", "B", "B", "Bi", "Bi"], "fractional_positions": [[0.3611, 0.8611, 0.0000], [0.8611, 0.6389, 0.0000], [0.6389, 0.1389, 0.0000], [0.1389, 0.3611, 0.0000], [0.1579, 0.6579, 0.5000], [0.6579, 0.8421, 0.5000], [0.8421, 0.3421, 0.5000], [0.3421, 0.1579, 0.5000], [0.0000, 0.0000, 0.0000], [0.5000, 0.5000, 0.0000]]}



# 2
{"formula": "CrNiAuC", "functional": "GGA-PBE", "state": "relaxed", "magmom_total_mub_per_cell": 0.37, "formation_enthalpy_0k_ev_per_atom": 0.130, "dos_ef_per_ev_cell": 2.842, "de_polymorph_ev_per_atom": 0.0115, "final_energy_ev_per_cell": -27.4, "lattice_angstrom": [[2.9132, 0.0000, 0.0000], [-1.4566, 2.5229, 0.0000], [0.0000, 0.0000, 6.4410]], "species": ["Ni", "C", "Au", "Cr"], "fractional_positions": [[0.0000, 0.0000, 0.6213], [0.6667, 0.3333, 0.7805], [0.6667, 0.3333, 0.2766], [0.3333, 0.6667, 0.9302]]}



# 3
{"formula": "Sm4Dy2Hg", "functional": "GGA-PBE", "state": "relaxed", "magmom_total_mub_per_cell": 0.00, "formation_enthalpy_0k_ev_per_atom": -0.010, "dos_ef_per_ev_cell": 8.994, "final_energy_ev_per_cell": -28.5, "lattice_angstrom": [[-0.2136, -3.5117, -0.5585], [-0.5753, -1.3038, 8.4174], [-6.9476, 2.8522, -3.9160]], "species": ["Sm", "Sm", "Sm", "Sm", "Dy", "Dy", "Hg"], "fractional_positions": [[0.9168, 0.2973, 0.8337], [0.0832, 0.7027, 0.1663], [0.6290, 0.3866, 0.2580], [0.3710, 0.6134, 0.7420], [0.7842, 0.8617, 0.5685], [0.2158, 0.1383, 0.4315], [0.0000, 0.0000, 0.0000]]}



# 4
{"formula": "Sr2LiAl12Cu3", "functional": "GGA-PBE", "state": "relaxed", "magmom_total_mub_per_cell": 0.00, "formation_enthalpy_0k_ev_per_atom": 0.171, "dos_ef_per_ev_cell": 6.082, "final_energy_ev_per_cell": -59.4, "lattice_angstrom": [[-4.5725, 0.1592, -6.4264], [-7.5044, -1.3479, 2.0250], [-4.0792, 6.7489, -0.2116]], "species": ["Sr", "Sr", "Li", "Al", "Al", "Al", "Al", "Al", "Al", "Al", "Al", "Al", "Al", "Al", "Al", "Cu", "Cu", "Cu"], "fractional_positions": [[0.6027, 0.6027, 0.6027], [0.3973, 0.3973, 0.3973], [0.0000, 0.0000, 0.0000], [0.2471, 0.2471, 0.8871], [0.8715, 0.8715, 0.3513], [0.3513, 0.8715, 0.8715], [0.8871, 0.2471, 0.2471], [0.8715, 0.3513, 0.8715], [0.2471, 0.8871, 0.2471], [0.7529, 0.7529, 0.1129], [0.1285, 0.1285, 0.6487], [0.6487, 0.1285, 0.1285], [0.1129, 0.7529, 0.7529], [0.1285, 0.6487, 0.1285], [0.7529, 0.1129, 0.7529], [0.5000, 0.0000, 0.0000], [0.0000, 0.5000, 0.0000], [0.0000, 0.0000, 0.5000]]}



# 5
{"formula": "Ba2SrIn3", "functional": "GGA-PBE", "state": "relaxed", "magmom_total_mub_per_cell": 0.00, "formation_enthalpy_0k_ev_per_atom": -0.408, "dos_ef_per_ev_cell": 7.507, "final_energy_ev_per_cell": -32.4, "lattice_angstrom": [[5.9262, 0.0000, 0.0238], [2.9631, 8.9392, 0.0119], [-0.0331, 0.0000, 8.4710]], "species": ["Ba", "Ba", "Ba", "Ba", "Sr", "Sr", "In", "In", "In", "In", "In", "In"], "fractional_positions": [[0.0000, 0.0000, 0.0000], [0.0000, 0.0000, 0.5000], [0.3355, 0.3289, 0.5000], [0.6645, 0.6711, 0.5000], [0.3340, 0.3320, 0.0000], [0.6660, 0.6680, 0.0000], [0.8283, 0.3433, 0.7730], [0.4999, 0.0000, 0.2323], [0.1717, 0.6567, 0.2270], [0.8283, 0.3433, 0.2270], [0.1717, 0.6567, 0.7730], [0.5001, 0.0000, 0.7677]]}



# 6
{"formula": "Tb3CePa2P6", "functional": "GGA-PBE", "state": "relaxed", "magmom_total_mub_per_cell": 0.49, "formation_enthalpy_0k_ev_per_atom": -1.497, "dos_ef_per_ev_cell": 11.876, "final_energy_ev_per_cell": -89.2, "lattice_angstrom": [[6.9553, -0.0003, 0.0008], [-3.4762, 6.0243, 0.0008], [-1.1600, -2.0086, 6.5336]], "species": ["Tb", "Tb", "Tb", "Ce", "Pa", "Pa", "P", "P", "P", "P", "P", "P"], "fractional_positions": [[0.1650, 0.8350, 0.5000], [0.8350, 0.1650, 0.5000], [0.5000, 0.5000, 0.5000], [0.0000, 0.0000, 0.0000], [0.3331, 0.6669, 0.0000], [0.6669, 0.3331, 0.0000], [0.9178, 0.5783, 0.7539], [0.7424, 0.7424, 0.2459], [0.0822, 0.4217, 0.2461], [0.5783, 0.9178, 0.7539], [0.2576, 0.2576, 0.7541], [0.4217, 0.0822, 0.2461]]}



# 7
{"formula": "KYCd2Pb", "functional": "GGA-PBE", "state": "relaxed", "magmom_total_mub_per_cell": 0.00, "formation_enthalpy_0k_ev_per_atom": 0.736, "dos_ef_per_ev_cell": 7.093, "final_energy_ev_per_cell": -9.4, "lattice_angstrom": [[5.7775, 0.0000, 0.0000], [0.0000, 6.3926, 0.0000], [0.0000, 0.0000, 5.7775]], "species": ["Pb", "Y", "K", "Cd", "Cd"], "fractional_positions": [[0.5000, 0.5000, 0.5000], [0.0000, 0.0000, 0.0000], [0.0000, 0.5000, 0.0000], [0.0000, 0.0000, 0.5000], [0.5000, 0.0000, 0.0000]]}



# 8
{"formula": "H7Rh5", "functional": "GGA-PBE", "state": "relaxed", "magmom_total_mub_per_cell": 0.00, "dos_ef_per_ev_cell": 7.462, "final_energy_ev_per_cell": -58.6, "lattice_angstrom": [[-0.9617, 2.5483, 0.1158], [-3.6915, 0.2138, -3.3433], [-11.2512, -2.8234, 0.6178]], "species": ["H", "H", "H", "H", "H", "H", "H", "Rh", "Rh", "Rh", "Rh", "Rh"], "fractional_positions": [[0.6900, 0.8590, 0.7633], [0.3100, 0.1410, 0.2367], [0.0570, 0.6684, 0.2161], [0.9430, 0.3316, 0.7839], [0.3658, 0.2936, 0.9747], [0.5000, 0.5000, 0.5000], [0.6342, 0.7064, 0.0253], [0.8748, 0.7225, 0.5277], [0.1252, 0.2775, 0.4723], [0.6965, 0.3668, 0.2396], [0.3035, 0.6332, 0.7604], [0.0000, 0.0000, 0.0000]]}



# 9
{"formula": "CaFeNi", "functional": "GGA-PBE", "state": "relaxed", "magmom_total_mub_per_cell": 3.19, "formation_enthalpy_0k_ev_per_atom": 0.214, "dos_ef_per_ev_cell": 1.845, "de_polymorph_ev_per_atom": 0.0488, "final_energy_ev_per_cell": -15.6, "lattice_angstrom": [[5.6883, 0.0185, 0.0278], [3.8445, 4.1925, -0.0278], [-4.7771, -2.0814, 2.2816]], "species": ["Ni", "Ca", "Fe"], "fractional_positions": [[0.7144, 0.7144, 0.0000], [0.0024, 0.0024, 0.0000], [0.2832, 0.2832, 0.0000]]}



# 10
{"formula": "CaTbSb", "functional": "GGA-PBE", "state": "relaxed", "magmom_total_mub_per_cell": 0.00, "dos_ef_per_ev_cell": 1.440, "raw_formation_energy_ev_per_atom": -0.473, "final_energy_ev_per_cell": -12.2, "lattice_angstrom": [[4.3851, 0.0000, 0.0000], [0.0000, 5.0401, 0.0000], [0.0000, -2.5201, 4.3649]], "species": ["Sb", "Ca", "Tb"], "fractional_positions": [[0.2931, 0.3333, 0.6667], [0.6141, 0.6667, 0.3333], [0.0927, 0.0000, 0.0000]]}



# 11
{"formula": "AgS", "functional": "GGA-PBE", "state": "relaxed", "magmom_total_mub_per_cell": 0.00, "dos_ef_per_ev_cell": 1.278, "raw_formation_energy_ev_per_atom": 0.096, "final_energy_ev_per_cell": -13.6, "lattice_angstrom": [[-3.0858, 2.7970, 1.0759], [-3.4190, -1.3287, 2.2467], [0.5323, 1.6288, 5.8911]], "species": ["Ag", "Ag", "S", "S"], "fractional_positions": [[0.2389, 0.2389, 0.2834], [0.7611, 0.7611, 0.7166], [0.9341, 0.9341, 0.1977], [0.0659, 0.0659, 0.8023]]}



# 12
{"formula": "TaNb2Sb", "functional": "GGA-PBE", "state": "relaxed", "magmom_total_mub_per_cell": 0.00, "dos_ef_per_ev_cell": 3.038, "raw_formation_energy_ev_per_atom": -0.114, "final_energy_ev_per_cell": -36.6, "lattice_angstrom": [[3.5411, 0.0000, 0.0000], [0.0000, 3.5411, 0.0000], [0.0000, 0.0000, 6.0764]], "species": ["Sb", "Nb", "Nb", "Ta"], "fractional_positions": [[0.5000, 0.5000, 0.5000], [0.0000, 0.0000, 0.7558], [0.0000, 0.0000, 0.2442], [0.5000, 0.5000, 0.0000]]}